Below is Rb2TlInBr5 after structural relaxation, with properties calculated at the PBE-GGA level.

Values from the calculation:
**Symmetry**: P4/mmm (123)
**Raw formation energy**: -1.08 eV/atom
**E**: -25.10 eV per cell
**D(E_F)**: 0.6 states/eV/cell

```
Rb2TlInBr5
1.0
-0.003 -5.665 -0.426
5.608 0.065 -0.905
1.929 -0.894 11.890
Rb Tl In Br
2 1 1 5
direct
0.500 0.500 0.281
0.500 0.500 0.719
0.000 0.000 0.500
0.000 0.000 0.000
0.000 0.500 0.500
0.500 0.000 0.500
0.000 0.000 0.751
0.000 0.000 0.249
0.500 0.500 0.000
```